{"formula": "CaAuI2", "functional": "PBE", "state": "relaxed", "dos_ef_per_ev_fu": 1.42, "spacegroup": "I-42d (122)", "formation_energy_uncorrected_kj_per_mol_fu": -217, "de_polymorph_mev_per_atom": 30, "lattice_angstrom": [[-2.860, 2.860, 9.276], [2.860, -2.860, 9.276], [2.860, 2.860, -9.276]], "species": ["Ca", "Ca", "Au", "Au", "I", "I", "I", "I"], "frac_coords": [[0.000, 0.000, 0.000], [0.750, 0.250, 0.500], [0.250, 0.750, 0.500], [0.500, 0.500, 0.000], [0.138, 0.625, 0.013], [0.375, 0.388, 0.513], [0.612, 0.125, 0.987], [0.875, 0.862, 0.487]]}

{"formula": "MnVSi2", "functional": "PBE", "state": "relaxed", "dos_ef_per_ev_fu": 2.23, "spacegroup": "P4/mmm (123)", "formation_energy_uncorrected_kj_per_mol_fu": -123, "lattice_angstrom": [[2.758, 0.000, 0.000], [0.000, 2.758, 0.000], [0.000, 0.000, 6.286]], "species": ["Mn", "V", "Si", "Si"], "frac_coords": [[0.000, 0.000, 0.000], [0.000, 0.000, 0.500], [0.500, 0.500, 0.216], [0.500, 0.500, 0.784]]}

{"formula": "Ca2GeAu2", "functional": "PBE", "state": "relaxed", "dos_ef_per_ev_fu": 1.55, "total_energy_ev_per_atom": -3.72, "spacegroup": "Immm (71)", "lattice_angstrom": [[-2.184, 3.143, 4.304], [2.184, -3.143, 4.304], [2.184, 3.143, -4.304]], "species": ["Ca", "Ca", "Ge", "Au", "Au"], "frac_coords": [[0.206, 0.206, 0.000], [0.794, 0.794, 0.000], [0.500, 0.000, 0.500], [0.225, 0.500, 0.725], [0.775, 0.500, 0.275]]}

{"formula": "Ba3Li2MgAu6", "functional": "PBE", "state": "relaxed", "dos_ef_per_ev_fu": 5.70, "total_energy_ev_per_atom": -3.10, "spacegroup": "P-3m1 (164)", "lattice_angstrom": [[6.772, 0.000, 0.000], [-3.386, 5.865, 0.000], [0.000, 0.000, 8.630]], "species": ["Ba", "Ba", "Ba", "Li", "Li", "Mg", "Au", "Au", "Au", "Au", "Au", "Au"], "frac_coords": [[0.000, 0.000, 0.000], [0.333, 0.667, 0.639], [0.667, 0.333, 0.361], [0.333, 0.667, 0.064], [0.667, 0.333, 0.936], [0.000, 0.000, 0.500], [0.187, 0.373, 0.296], [0.187, 0.813, 0.296], [0.373, 0.187, 0.704], [0.627, 0.813, 0.296], [0.813, 0.187, 0.704], [0.813, 0.627, 0.704]]}

{"formula": "Tb4Pm5Hg4", "functional": "PBE", "state": "relaxed", "dos_ef_per_ev_fu": 10.73, "total_energy_ev_per_atom": -3.66, "spacegroup": "I4/m (87)", "lattice_angstrom": [[-6.109, 6.109, 2.602], [6.109, -6.109, 2.602], [6.109, 6.109, -2.602]], "species": ["Tb", "Tb", "Tb", "Tb", "Pm", "Pm", "Pm", "Pm", "Pm", "Hg", "Hg", "Hg", "Hg"], "frac_coords": [[0.097, 0.605, 0.703], [0.395, 0.097, 0.492], [0.605, 0.903, 0.508], [0.903, 0.395, 0.297], [0.000, 0.000, 0.000], [0.315, 0.381, 0.696], [0.381, 0.685, 0.066], [0.619, 0.315, 0.934], [0.685, 0.619, 0.304], [0.095, 0.240, 0.335], [0.240, 0.905, 0.146], [0.760, 0.095, 0.854], [0.905, 0.760, 0.665]]}

{"formula": "PmPrPtPb", "functional": "PBE", "state": "relaxed", "dos_ef_per_ev_fu": 1.39, "total_energy_ev_per_atom": -5.49, "spacegroup": "F-43m (216)", "lattice_angstrom": [[0.000, 3.787, 3.787], [3.787, 0.000, 3.787], [3.787, 3.787, 0.000]], "species": ["Pm", "Pr", "Pt", "Pb"], "frac_coords": [[0.000, 0.000, 0.000], [0.500, 0.500, 0.500], [0.250, 0.250, 0.250], [0.750, 0.750, 0.750]]}

{"formula": "CdPbSe2", "functional": "PBE", "state": "relaxed", "spacegroup": "R3m (160)", "formation_energy_uncorrected_kj_per_mol_fu": -186, "lattice_angstrom": [[2.074, 1.197, 7.179], [-2.074, 1.197, 7.179], [0.000, -2.395, 7.179]], "species": ["Cd", "Pb", "Se", "Se"], "frac_coords": [[0.000, 0.000, 0.000], [0.831, 0.831, 0.831], [0.403, 0.403, 0.403], [0.588, 0.588, 0.588]]}

{"formula": "Li2PrNd", "functional": "PBE", "state": "relaxed", "dos_ef_per_ev_fu": 5.26, "spacegroup": "P4/mmm (123)", "de_polymorph_mev_per_atom": 0, "lattice_angstrom": [[5.227, 0.000, 0.000], [0.000, 5.227, 0.000], [0.000, 0.000, 4.094]], "species": ["Li", "Li", "Pr", "Nd"], "frac_coords": [[0.000, 0.500, 0.000], [0.500, 0.000, 0.000], [0.000, 0.000, 0.500], [0.500, 0.500, 0.500]]}

{"formula": "La7PdBr12", "functional": "PBE", "state": "relaxed", "dos_ef_per_ev_fu": 12.99, "spacegroup": "R-3 (148)", "formation_energy_uncorrected_kj_per_mol_fu": -3250, "lattice_angstrom": [[7.861, 4.539, 3.424], [-7.861, 4.539, 3.424], [0.000, -9.077, 3.424]], "species": ["La", "La", "La", "La", "La", "La", "La", "Pd", "Br", "Br", "Br", "Br", "Br", "Br", "Br", "Br", "Br", "Br", "Br", "Br"], "frac_coords": [[0.000, 0.000, 0.000], [0.167, 0.374, 0.459], [0.374, 0.459, 0.167], [0.459, 0.167, 0.374], [0.541, 0.833, 0.626], [0.626, 0.541, 0.833], [0.833, 0.626, 0.541], [0.500, 0.500, 0.500], [0.014, 0.336, 0.106], [0.106, 0.014, 0.336], [0.189, 0.716, 0.575], [0.284, 0.425, 0.811], [0.336, 0.106, 0.014], [0.425, 0.811, 0.284], [0.575, 0.189, 0.716], [0.664, 0.894, 0.986], [0.716, 0.575, 0.189], [0.811, 0.284, 0.425], [0.894, 0.986, 0.664], [0.986, 0.664, 0.894]]}

{"formula": "Hf2TlMo", "functional": "PBE", "state": "relaxed", "dos_ef_per_ev_fu": 2.20, "spacegroup": "Fm-3m (225)", "de_polymorph_mev_per_atom": 181, "lattice_angstrom": [[0.000, 3.428, 3.428], [3.428, 0.000, 3.428], [3.428, 3.428, 0.000]], "species": ["Hf", "Hf", "Tl", "Mo"], "frac_coords": [[0.250, 0.250, 0.250], [0.750, 0.750, 0.750], [0.000, 0.000, 0.000], [0.500, 0.500, 0.500]]}

{"formula": "PmYHoS3", "functional": "PBE", "state": "relaxed", "dos_ef_per_ev_fu": 3.42, "spacegroup": "P2_1/m (11)", "formation_energy_uncorrected_kj_per_mol_fu": -1115, "lattice_angstrom": [[6.832, 0.000, 0.000], [0.000, 3.868, 0.000], [-2.239, 0.000, 10.035]], "species": ["Pm", "Pm", "Y", "Y", "Ho", "Ho", "S", "S", "S", "S", "S", "S"], "frac_coords": [[0.159, 0.250, 0.196], [0.841, 0.750, 0.804], [0.373, 0.250, 0.869], [0.627, 0.750, 0.131], [0.266, 0.750, 0.556], [0.734, 0.250, 0.444], [0.046, 0.250, 0.661], [0.221, 0.750, 0.002], [0.448, 0.750, 0.345], [0.552, 0.250, 0.655], [0.779, 0.250, 0.998], [0.954, 0.750, 0.339]]}

{"formula": "NaSrGaAs2", "functional": "PBE", "state": "relaxed", "dos_ef_per_ev_fu": 0.32, "total_energy_ev_per_atom": -3.70, "spacegroup": "C2/m (12)", "lattice_angstrom": [[7.924, -2.154, 0.000], [7.924, 2.154, 0.000], [-6.888, 0.000, 8.168]], "species": ["Na", "Na", "Sr", "Sr", "Ga", "Ga", "As", "As", "As", "As"], "frac_coords": [[0.146, 0.146, 0.394], [0.854, 0.854, 0.606], [0.278, 0.278, 0.858], [0.722, 0.722, 0.142], [0.456, 0.456, 0.313], [0.544, 0.544, 0.687], [0.084, 0.084, 0.861], [0.347, 0.347, 0.415], [0.653, 0.653, 0.585], [0.916, 0.916, 0.139]]}